La6Al2Rh: optimized geometry, PBE.

Results
The value obtained for the total magnetization is 0.0 Bohr magnetons per cell. As for the energy relative to the elements: -0.3474 eV/atom.

abc: 8.9216 8.9216 3.8769
angles: 90.00 90.00 120.00
Last column: nearest neighbours and their distance in Å.
Positions (direct):
La 0.0000 0.2463 0.0000  2 Rh 2.93
La 0.0000 0.5953 0.5000  4 Al 3.33, 1 Rh 3.61, 6 La 3.67-3.70
La 0.2463 0.0000 0.0000  2 Rh 2.93
La 0.4047 0.4047 0.5000  4 Al 3.33, 1 Rh 3.61, 6 La 3.67-3.70
La 0.5953 0.0000 0.5000  4 Al 3.33, 1 Rh 3.61, 6 La 3.67-3.70
La 0.7537 0.7537 0.0000  2 Rh 2.93
Al 0.3333 0.6667 0.0000  9 La 3.33-3.43
Al 0.6667 0.3333 0.0000  9 La 3.33-3.43
Rh 0.0000 0.0000 0.5000  6 La 2.93



LaErCo: optimized geometry, PBE.

Results
The value obtained for the total magnetization is 0.0 Bohr magnetons per cell. The distance to the lowest polymorph of the same formula is 8 meV per atom. As for the energy relative to the elements: -0.1359 eV/atom.

abc: 3.7552 5.9582 7.3297
angles: 82.36 75.46 71.73
Last column: nearest neighbours and their distance in Å.
Positions (direct):
La 0.1887 0.2342 0.3849  2 Co 2.65-2.68
La 0.8113 0.7658 0.6151  2 Co 2.65-2.68
Er 0.4187 0.2832 0.8773  4 Co 2.74-3.00
Er 0.5813 0.7168 0.1227  4 Co 2.74-3.00
Co 0.1310 0.8717 0.8632  1 Co 2.49, 2 La 2.65-2.68, 2 Er 2.74
Co 0.8690 0.1283 0.1368  1 Co 2.49, 2 La 2.65-2.68, 2 Er 2.74



Nd2ScIn: optimized geometry, PBE.

Results
The value obtained for the total magnetization is 1.1 Bohr magnetons per cell. The distance to the lowest polymorph of the same formula is 91 meV per atom. As for the energy relative to the elements: -0.1660 eV/atom.

abc: 5.4788 5.4788 5.4788
angles: 60.00 60.00 60.00
Last column: nearest neighbours and their distance in Å.
Positions (direct):
Nd 0.2500 0.2500 0.2500  4 In 3.36, 4 Sc 3.36
Nd 0.7500 0.7500 0.7500  4 In 3.36, 4 Sc 3.36
Sc 0.0000 0.0000 0.0000  8 Nd 3.36
In 0.5000 0.5000 0.5000  8 Nd 3.36



K3HfPd: optimized geometry, PBE.

Results
The value obtained for the total magnetization is 3.0 Bohr magnetons per cell. The distance to the lowest polymorph of the same formula is 0 meV per atom. As for the energy relative to the elements: 1.0660 eV/atom.

abc: 6.1107 6.1107 6.1107
angles: 90.00 90.00 90.00
Last column: nearest neighbours and their distance in Å.
Positions (direct):
K 0.0000 0.0000 0.5000  2 Pd 3.06
K 0.0000 0.5000 0.0000  2 Pd 3.06
K 0.5000 0.0000 0.0000  2 Pd 3.06
Hf 0.5000 0.5000 0.5000  12 K 4.32
Pd 0.0000 0.0000 0.0000  6 K 3.06



Copy entry 2 word for word.
LaErCo: optimized geometry, PBE.

Results
The value obtained for the total magnetization is 0.0 Bohr magnetons per cell. The distance to the lowest polymorph of the same formula is 8 meV per atom. As for the energy relative to the elements: -0.1359 eV/atom.

abc: 3.7552 5.9582 7.3297
angles: 82.36 75.46 71.73
Last column: nearest neighbours and their distance in Å.
Positions (direct):
La 0.1887 0.2342 0.3849  2 Co 2.65-2.68
La 0.8113 0.7658 0.6151  2 Co 2.65-2.68
Er 0.4187 0.2832 0.8773  4 Co 2.74-3.00
Er 0.5813 0.7168 0.1227  4 Co 2.74-3.00
Co 0.1310 0.8717 0.8632  1 Co 2.49, 2 La 2.65-2.68, 2 Er 2.74
Co 0.8690 0.1283 0.1368  1 Co 2.49, 2 La 2.65-2.68, 2 Er 2.74